VASP calculation (PBE) on a relaxed ScCr2As crystal. Values from VASP.

**Electronic total energy**: -7.352 eV/atom
**Magnetization**: 0.00 μB/f.u.
**Density**: 6.284 g/cm³
**Formation enthalpy at 0 K**: 79 kJ/mol of formula units

Quantum ESPRESSO input file:
```
&SYSTEM
  ibrav = 0, nat = 4, ntyp = 3
/
ATOMIC_SPECIES
As 74.92 As.upf
Cr 52.00 Cr.upf
Sc 44.96 Sc.upf
ATOMIC_POSITIONS crystal
As 0.500 0.500 0.000
Cr 0.000 0.000 0.000
Cr 0.500 0.000 0.500
Sc 0.000 0.500 0.500
CELL_PARAMETERS angstrom
4.565 -0.005 -0.014
-2.231 4.670 0.011
0.102 0.913 2.777
```